No. 1
The following is a DFT calculation (PBE-GGA) of a relaxed TiCuS2N crystal.

As for the crystal system: tetragonal. The value obtained for the size of the total moment is 0.00 μB per atom. For the density of states at the Fermi level, the calculation gives 1.177 states/eV/atom. The energy relative to the elements, uncorrected comes out at 0.196 eV/atom.

The structure belongs to space group P4/mmm (No. 123); the cell edges are 4.778, 4.778 and 3.778 Å and the angles 90.00°, 90.00° and 90.00°. The distinct sites, in fractional coordinates, are Ti at (0.000, 0.000, 0.000), Cu at (0.500, 0.500, 0.500), S at (0.000, 0.500, 0.000) and N at (0.000, 0.000, 0.500).

---

No. 2
The following is a DFT calculation (PBE-GGA) of a relaxed TiCuSN2 crystal.

As for the crystal system: tetragonal. The value obtained for the size of the total moment is 0.04 μB per atom. For the density of states at the Fermi level, the calculation gives 0.715 states/eV/atom. The energy relative to the elements, uncorrected comes out at 0.964 eV/atom.

The structure belongs to space group P4/mmm (No. 123); the cell edges are 3.731, 3.731 and 4.491 Å and the angles 90.00°, 90.00° and 90.00°. The distinct sites, in fractional coordinates, are Ti at (0.000, 0.000, 0.000), Cu at (0.500, 0.500, 0.500), S at (0.500, 0.500, 0.000) and N at (0.000, 0.500, 0.500).

---

No. 3
The following is a DFT calculation (PBE-GGA) of a relaxed TiCuSN crystal.

As for the crystal system: trigonal. The value obtained for the size of the total moment is 0.00 μB per atom. For the density of states at the Fermi level, the calculation gives 0.251 states/eV/atom. The energy relative to the elements, uncorrected comes out at -0.827 eV/atom.

The structure belongs to space group R-3m (No. 166, hexagonal axes); the cell edges are 3.5103, 3.5103 and 29.1971 Å and the angles 90.00°, 90.00° and 120.00°. The distinct sites, in fractional coordinates, are Ti at (0.0000, 0.0000, 0.1273), Cu at (0.0000, 0.0000, 0.3077), S at (0.0000, 0.0000, 0.3955) and N at (0.0000, 0.0000, 0.1955).

---

No. 4
The following is a DFT calculation (PBE-GGA) of a relaxed TlCuS2N crystal.

As for the crystal system: tetragonal. The value obtained for the size of the total moment is 0.28 μB per atom. For the density of states at the Fermi level, the calculation gives 1.004 states/eV/atom. The energy relative to the elements, uncorrected comes out at 0.777 eV/atom.

The structure belongs to space group P4/mmm (No. 123); the cell edges are 4.896, 4.896 and 3.680 Å and the angles 90.00°, 90.00° and 90.00°. The distinct sites, in fractional coordinates, are Tl at (0.000, 0.000, 0.000), Cu at (0.500, 0.500, 0.500), S at (0.000, 0.500, 0.500) and N at (0.500, 0.500, 0.000).

---

No. 5
The following is a DFT calculation (PBE-GGA) of a relaxed TlCuS2N crystal.

As for the crystal system: tetragonal. The value obtained for the size of the total moment is 0.00 μB per atom. For the density of states at the Fermi level, the calculation gives 2.143 states/eV/atom. The energy relative to the elements, uncorrected comes out at 1.665 eV/atom.

The structure belongs to space group P4/mmm (No. 123); the cell edges are 5.184, 5.184 and 4.134 Å and the angles 90.00°, 90.00° and 90.00°. The distinct sites, in fractional coordinates, are Tl at (0.000, 0.000, 0.000), Cu at (0.500, 0.500, 0.500), S at (0.000, 0.500, 0.000) and N at (0.000, 0.000, 0.500).

---

No. 6
The following is a DFT calculation (PBE-GGA) of a relaxed U2CuS2N2 crystal.

As for the crystal system: trigonal. The value obtained for the size of the total moment is 0.43 μB per atom. For the density of states at the Fermi level, the calculation gives 1.098 states/eV/atom. The energy relative to the elements, uncorrected comes out at -1.190 eV/atom.

The structure belongs to space group P-3m1 (No. 164); the cell edges are 3.8181, 3.8181 and 10.5125 Å and the angles 90.00°, 90.00° and 120.00°. The distinct sites, in fractional coordinates, are U at (0.3333, 0.6667, 0.1360), Cu at (0.0000, 0.0000, 0.5000), S at (0.0000, 0.0000, 0.2974) and N at (0.3333, 0.6667, 0.9199).

---

No. 7
The following is a DFT calculation (PBE-GGA) of a relaxed VCuS2N crystal.

As for the crystal system: tetragonal. The value obtained for the size of the total moment is 0.00 μB per atom. For the density of states at the Fermi level, the calculation gives 0.956 states/eV/atom. The energy relative to the elements, uncorrected comes out at 0.258 eV/atom.

The structure belongs to space group P4/mmm (No. 123); the cell edges are 4.692, 4.692 and 3.599 Å and the angles 90.00°, 90.00° and 90.00°. The distinct sites, in fractional coordinates, are V at (0.000, 0.000, 0.000), Cu at (0.500, 0.500, 0.500), S at (0.000, 0.500, 0.000) and N at (0.000, 0.000, 0.500).

---

No. 8
The following is a DFT calculation (PBE-GGA) of a relaxed VCuSN2 crystal.

As for the crystal system: tetragonal. The value obtained for the size of the total moment is 0.09 μB per atom. For the density of states at the Fermi level, the calculation gives 0.903 states/eV/atom. The energy relative to the elements, uncorrected comes out at 1.255 eV/atom.

The structure belongs to space group P4/mmm (No. 123); the cell edges are 3.694, 3.694 and 4.804 Å and the angles 90.00°, 90.00° and 90.00°. The distinct sites, in fractional coordinates, are V at (0.000, 0.000, 0.000), Cu at (0.500, 0.500, 0.500), S at (0.500, 0.500, 0.000) and N at (0.000, 0.500, 0.500).